(1)
4
Lattice="4.299 0.000 0.000 -2.150 4.410 -0.050 0.000 2.138 3.730" Properties=species:S:1:pos:R:3 comment="CaAlP2 meta-GGA SCAN PBEsol geometry" ef_ev_per_atom=-0.20 spacegroup="I4/mmm, No. 139" m_tot_mub_per_cell=0.00 pbc="T T T"
P 0.000 2.740 0.907
P 2.150 3.809 2.772
Al 2.150 1.069 1.865
Ca 0.000 0.000 0.000

---

(2)
4
Lattice="3.449 0.000 0.000 0.000 3.449 0.000 0.000 0.000 7.257" Properties=species:S:1:pos:R:3 comment="CaAlP2 meta-GGA SCAN PBEsol geometry" ef_ev_per_atom=-0.47 spacegroup="P4mm, No. 99" m_tot_mub_per_cell=0.00 pbc="T T T"
P 0.000 0.000 7.159
P 1.724 1.724 2.949
Al 0.000 0.000 2.256
Ca 1.724 1.724 5.778